Compound: BaTlS14
Source: Alexandria
Functional: GGA-PBE
Structure: optimized geometry

The value obtained for the formation energy (no corrections) is -0.007 eV/atom.

Unit cell a=12.1751 b=12.1751 c=12.1751 alpha=141.52 beta=86.85 gamma=105.79
Element x y z (fractional)
Ba  0.5000  0.0000  0.0000
Ba  0.5000  0.5000  0.5000
Tl  0.1626  0.4126  0.7500
Tl  0.8374  0.5874  0.2500
S  0.0425  0.4257  0.1011
S  0.0425  0.9413  0.6168
S  0.1069  0.9110  0.1959
S  0.1754  0.0587  0.6011
S  0.1754  0.5743  0.1168
S  0.2151  0.9110  0.3041
S  0.2346  0.3952  0.3369
S  0.2346  0.8977  0.8394
S  0.2641  0.6276  0.6365
S  0.2674  0.1311  0.1363
S  0.4417  0.1023  0.8369
S  0.4417  0.6048  0.3394
S  0.4911  0.6276  0.8635
S  0.4948  0.1311  0.3637
S  0.5052  0.8689  0.6363
S  0.5089  0.3724  0.1365
S  0.5583  0.3952  0.6606
S  0.5583  0.8977  0.1631
S  0.7326  0.8689  0.8637
S  0.7359  0.3724  0.3635
S  0.7654  0.1023  0.1606
S  0.7654  0.6048  0.6631
S  0.7849  0.0890  0.6959
S  0.8246  0.4257  0.8832
S  0.8246  0.9413  0.3989
S  0.8931  0.0890  0.8041
S  0.9575  0.0587  0.3832
S  0.9575  0.5743  0.8989


Compound: CeZnGaRh3
Source: Alexandria
Functional: GGA-PBE
Structure: optimized geometry

Unit cell a=6.9123 b=6.9123 c=5.9180 alpha=90.00 beta=90.00 gamma=131.44
Element x y z (fractional)
Ce  0.1584  0.8416  0.7500
Ce  0.8416  0.1584  0.2500
Zn  0.3870  0.6130  0.7500
Zn  0.6130  0.3870  0.2500
Ga  0.1307  0.8693  0.2500
Ga  0.8693  0.1307  0.7500
Rh  0.2437  0.2437  0.0000
Rh  0.2437  0.2437  0.5000
Rh  0.3309  0.6691  0.2500
Rh  0.6691  0.3309  0.7500
Rh  0.7563  0.7563  0.0000
Rh  0.7563  0.7563  0.5000


Compound: Zr3Al3Rh
Source: Alexandria
Functional: GGA-PBE
Structure: optimized geometry

Unit cell a=5.6610 b=5.6610 c=14.2323 alpha=90.00 beta=90.00 gamma=144.89
Element x y z (fractional)
Zr  0.0060  0.9940  0.7500
Zr  0.3100  0.6900  0.0925
Zr  0.3100  0.6900  0.4075
Zr  0.6900  0.3100  0.5925
Zr  0.6900  0.3100  0.9075
Zr  0.9940  0.0060  0.2500
Al  0.2702  0.7298  0.7500
Al  0.4092  0.5908  0.6033
Al  0.4092  0.5908  0.8967
Al  0.5908  0.4092  0.1033
Al  0.5908  0.4092  0.3967
Al  0.7298  0.2702  0.2500
Rh  0.0000  0.0000  0.0000
Rh  0.0000  0.0000  0.5000


no.,calculated density (g/cm³),raw total energy (eV/atom),total moment (μB per atom)
1,2.5,-3.8867,0.0000
2,9.1,-5.8036,0.0000
3,5.8,-6.9122,0.0000